No. 1
Below is a geometry-optimized AsOs2 structure, with properties calculated at the PBE level.

Output
The calculated total energy comes out at -8.5133 eV per atom.

```
data_AsOs2
_chemical_formula_sum 'As1 Os2'
_space_group_name_H-M_alt 'P -3 m 1'
_space_group_IT_number 164
_space_group_name_Hall '-P 3 2"'
_cell_length_a 4.2027
_cell_length_b 4.2027
_cell_length_c 2.9083
_cell_angle_alpha 90.00
_cell_angle_beta 90.00
_cell_angle_gamma 120.00
loop_
_atom_site_label
_atom_site_fract_x
_atom_site_fract_y
_atom_site_fract_z
As1 0.0000 0.0000 0.0000
Os1 0.3333 0.6667 0.7470
```



No. 2
Below is a geometry-optimized As3Os structure, with properties calculated at the PBE level.

Output
For the energy above the lowest structure with this stoichiometry, the calculation gives 554 meV/atom.

```
data_As3Os
_chemical_formula_sum 'As6 Os2'
_space_group_name_H-M_alt 'C m m m'
_space_group_IT_number 65
_space_group_name_Hall '-C 2 2'
_cell_length_a 5.749
_cell_length_b 7.345
_cell_length_c 3.161
_cell_angle_alpha 90.00
_cell_angle_beta 90.00
_cell_angle_gamma 90.00
loop_
_atom_site_label
_atom_site_fract_x
_atom_site_fract_y
_atom_site_fract_z
As1 0.000 0.000 0.000
As2 0.250 0.250 0.500
Os1 0.000 0.500 0.000
```



No. 3
Below is a geometry-optimized As5Os3 structure, with properties calculated at the PBE level.

Output
The calculated total energy comes out at -6.5792 eV per atom.

```
data_As5Os3
_chemical_formula_sum 'As10 Os6'
_space_group_name_H-M_alt 'C m m m'
_space_group_IT_number 65
_space_group_name_Hall '-C 2 2'
_cell_length_a 6.459
_cell_length_b 9.101
_cell_length_c 4.346
_cell_angle_alpha 90.00
_cell_angle_beta 90.00
_cell_angle_gamma 90.00
loop_
_atom_site_label
_atom_site_fract_x
_atom_site_fract_y
_atom_site_fract_z
As1 0.000 0.000 0.000
As2 0.229 0.500 0.500
As3 0.250 0.250 0.000
Os1 0.000 0.269 0.500
Os2 0.000 0.500 0.000
```



No. 4
Below is a geometry-optimized AsOs2 structure, with properties calculated at the PBE level.

Output
The calculated total energy comes out at -7.9967 eV per atom.

```
data_AsOs2
_chemical_formula_sum 'As4 Os8'
_space_group_name_H-M_alt 'P a -3'
_space_group_IT_number 205
_space_group_name_Hall '-P 2ac 2ab 3'
_cell_length_a 5.895
_cell_length_b 5.895
_cell_length_c 5.895
_cell_angle_alpha 90.00
_cell_angle_beta 90.00
_cell_angle_gamma 90.00
loop_
_atom_site_label
_atom_site_fract_x
_atom_site_fract_y
_atom_site_fract_z
As1 0.000 0.000 0.000
Os1 0.117 0.617 0.883
```



No. 5
Below is a geometry-optimized As3Os structure, with properties calculated at the PBE level.

Output
For the energy above the lowest structure with this stoichiometry, the calculation gives 489 meV/atom.

```
data_As3Os
_chemical_formula_sum 'As6 Os2'
_space_group_name_H-M_alt 'I 4/m m m'
_space_group_IT_number 139
_space_group_name_Hall '-I 4 2'
_cell_length_a 4.280
_cell_length_b 4.280
_cell_length_c 7.270
_cell_angle_alpha 90.00
_cell_angle_beta 90.00
_cell_angle_gamma 90.00
loop_
_atom_site_label
_atom_site_fract_x
_atom_site_fract_y
_atom_site_fract_z
As1 0.000 0.000 0.000
As2 0.000 0.500 0.250
Os1 0.000 0.000 0.500
```



No. 6
Below is a geometry-optimized AsOs4 structure, with properties calculated at the PBE level.

Output
For the energy above the lowest structure with this stoichiometry, the calculation gives 637 meV/atom.

```
data_AsOs4
_chemical_formula_sum 'As1 Os4'
_space_group_name_H-M_alt 'P m -3 m'
_space_group_IT_number 221
_space_group_name_Hall '-P 4 2 3'
_cell_length_a 4.448
_cell_length_b 4.448
_cell_length_c 4.448
_cell_angle_alpha 90.00
_cell_angle_beta 90.00
_cell_angle_gamma 90.00
loop_
_atom_site_label
_atom_site_fract_x
_atom_site_fract_y
_atom_site_fract_z
As1 0.000 0.000 0.000
Os1 0.000 0.000 0.500
Os2 0.500 0.500 0.500
```



Calculated theoretical density in order - 17.0, 10.3, 12.3, 14.8, 10.4, 15.8 g cm⁻³
Calculated volume in order - 14.83, 16.69, 15.97, 17.08, 16.64, 17.60 Å³ per atom